Entry 1:
Below is a relaxed LaBeBr crystal, with properties calculated at the PBE-GGA level.

The structure in extended XYZ format:
```
3
Lattice="5.153 0.002 0.001 1.608 4.896 -0.001 -3.029 -2.934 2.961" Properties=species:S:1:pos:R:3 pbc="T T T"
Be 0.217 0.157 0.000
La 4.539 3.288 0.000
Br 2.005 1.452 0.000
```

The offset from the most stable computed form is 0 meV per atom. As for the symmetry: No. 44.

Entry 2:
Below is a relaxed LaBe2Br crystal, with properties calculated at the PBE-GGA level.

The structure in extended XYZ format:
```
4
Lattice="-2.235 1.480 -3.872 -3.522 0.573 2.252 1.197 4.025 0.847" Properties=species:S:1:pos:R:3 pbc="T T T"
Be -0.274 2.185 0.993
Be 0.307 4.139 1.404
La -2.862 4.188 0.388
Br -1.699 1.889 -1.161
```

The offset from the most stable computed form is 336 meV per atom. As for the symmetry: No. 47.

Entry 3:
Below is a relaxed La4BeBr5 crystal, with properties calculated at the PBE-GGA level.

The structure in extended XYZ format:
```
10
Lattice="3.962 0.000 -0.988 -0.446 7.580 -1.786 0.640 0.505 11.001" Properties=species:S:1:pos:R:3 pbc="T T T"
Br 1.758 3.790 -1.387
Br 0.585 4.515 2.344
La 1.717 5.844 6.881
Be 1.981 0.000 -0.494
Br 3.260 7.209 4.635
Br 3.572 3.570 5.882
Br 0.896 0.876 3.591
La -0.054 6.264 -0.217
La 4.210 1.821 8.443
La 2.440 2.241 1.345
```

As for the symmetry: No. 12.

Entry 4:
Below is a relaxed LaBeBr crystal, with properties calculated at the PBE-GGA level.

The structure in extended XYZ format:
```
3
Lattice="-0.355 -3.933 -0.495 3.471 1.795 -0.754 2.107 -1.086 7.114" Properties=species:S:1:pos:R:3 pbc="T T T"
Be 1.943 -1.001 6.559
La 3.617 -0.846 4.130
Br 1.771 -2.462 2.290
```

The offset from the most stable computed form is 47 meV per atom. As for the symmetry: No. 156.

| no. | uncorrected energy (eV/atom) |
| --- | --- |
| 1 | -3.605 |
| 2 | -3.332 |
| 3 | -4.461 |
| 4 | -3.558 |